# Ba2PmMo3O12 (PBE+U, optimized geometry)
# raw total energy	-7.12	eV/atom
# space group	R-3m, No. 166
# calculated density	5.5	g cm⁻³
data_Ba2PmMo3O12
_cell_length_a 7.0310
_cell_length_b 7.0310
_cell_length_c 7.0310
_cell_angle_alpha 64.80
_cell_angle_beta 64.80
_cell_angle_gamma 64.80
_space_group_name_H-M_alt 'P 1'
_space_group_IT_number 1
_space_group_name_Hall 'P 1'
loop_
_atom_site_label
_atom_site_fract_x
_atom_site_fract_y
_atom_site_fract_z
O1 0.8728 0.8728 0.4117
Pm1 0.0000 0.0000 0.0000
O2 0.9048 0.2778 0.2778
O3 0.2778 0.9048 0.2778
O4 0.0952 0.7222 0.7222
O5 0.4117 0.8728 0.8728
Mo1 0.0000 0.5000 0.0000
O6 0.7222 0.0952 0.7222
O7 0.1272 0.1272 0.5883
Ba1 0.3809 0.3809 0.3809
Mo2 0.5000 0.0000 0.0000
O8 0.8728 0.4117 0.8728
O9 0.2778 0.2778 0.9048
O10 0.7222 0.7222 0.0952
O11 0.5883 0.1272 0.1272
Ba2 0.6191 0.6191 0.6191
O12 0.1272 0.5883 0.1272
Mo3 0.0000 0.0000 0.5000